Record 1
A plane-wave DFT calculation with PBE-GGA was carried out for crystalline FeCuRu2 at its relaxed geometry.

Cell: 2.6088 2.6088 8.7303 Å, 90.00 90.00 115.73°
With the nearest neighbours (Å) after each atom.
Fractional coordinates of all 4 atoms:
Fe1 0.0000 0.0000 0.0000  4 Ru 2.54, 6 Fe 2.61-2.78
Cu1 0.0000 0.0000 0.5000  6 Cu 2.61-2.78, 4 Ru 2.64
Ru1 0.5000 0.5000 0.2433  2 Fe 2.54, 6 Ru 2.61-2.78, 2 Cu 2.64
Ru2 0.5000 0.5000 0.7567  2 Fe 2.54, 6 Ru 2.61-2.78, 2 Cu 2.64

Properties
DFT formation energy ... 318 meV per atom



Record 2
A plane-wave DFT calculation with PBE-GGA was carried out for crystalline FeCuSiRu at its relaxed geometry.

Cell: 4.0974 4.0974 4.0974 Å, 60.00 60.00 60.00°
With the nearest neighbours (Å) after each atom.
Fractional coordinates of all 4 atoms:
Fe1 0.0000 0.0000 0.0000  4 Cu 2.51, 4 Si 2.51
Cu1 0.2500 0.2500 0.2500  4 Fe 2.51, 4 Ru 2.51
Si1 0.7500 0.7500 0.7500  4 Fe 2.51, 4 Ru 2.51
Ru1 0.5000 0.5000 0.5000  4 Cu 2.51, 4 Si 2.51

Properties
Uncorrected formation energy ... -0.156 eV per atom



Record 3
A plane-wave DFT calculation with PBE-GGA was carried out for crystalline ZrFeCuRu2 at its relaxed geometry.

Cell: 4.7139 4.7139 4.6992 Å, 90.00 90.00 90.00°
With the nearest neighbours (Å) after each atom.
Fractional coordinates of all 5 atoms:
Zr1 0.0000 0.0000 0.0000  2 Cu 2.35, 4 Ru 2.36
Fe1 0.5000 0.5000 0.5000  8 Ru 3.33, 4 Cu 3.33
Cu1 0.0000 0.0000 0.5000  2 Zr 2.35
Ru1 0.0000 0.5000 0.0000  2 Zr 2.36
Ru2 0.5000 0.0000 0.0000  2 Zr 2.36

Properties
DFT formation energy ... 1999 meV per atom



Record 4
A plane-wave DFT calculation with PBE-GGA was carried out for crystalline FeCu3S at its relaxed geometry.

Cell: 4.2991 4.2991 4.2991 Å, 90.00 90.00 90.00°
With the nearest neighbours (Å) after each atom.
Fractional coordinates of all 5 atoms:
Fe1 0.0000 0.0000 0.0000  12 Cu 3.04
Cu1 0.0000 0.5000 0.5000  2 S 2.15
Cu2 0.5000 0.0000 0.5000  2 S 2.15
Cu3 0.5000 0.5000 0.0000  2 S 2.15
S1 0.5000 0.5000 0.5000  6 Cu 2.15

Properties
Uncorrected formation energy ... 0.713 eV per atom



Record 5
A plane-wave DFT calculation with PBE-GGA was carried out for crystalline Fe2CuS3 at its relaxed geometry.

Cell: 5.9941 9.9082 6.2692 Å, 90.00 90.00 90.00°
With the nearest neighbours (Å) after each atom.
Fractional coordinates of all 24 atoms:
Fe1 0.1354 0.0975 0.0482  4 S 2.11-2.18
Fe2 0.1354 0.4025 0.0482  4 S 2.11-2.18
Fe3 0.3646 0.5975 0.5482  4 S 2.11-2.18
Fe4 0.3646 0.9025 0.5482  4 S 2.11-2.18
Fe5 0.6354 0.0975 0.4518  4 S 2.11-2.18
Fe6 0.6354 0.4025 0.4518  4 S 2.11-2.18
Fe7 0.8646 0.5975 0.9518  4 S 2.11-2.18
Fe8 0.8646 0.9025 0.9518  4 S 2.11-2.18
Cu1 0.2383 0.2500 0.5582  4 S 2.27-2.34
Cu2 0.2617 0.7500 0.0582  4 S 2.27-2.34
Cu3 0.7383 0.2500 0.9418  4 S 2.27-2.34
Cu4 0.7617 0.7500 0.4418  4 S 2.27-2.34
S1 0.1496 0.7500 0.4055  2 Fe 2.18, 2 Cu 2.28-2.34
S2 0.2017 0.5693 0.8433  3 Fe 2.11-2.15, 1 Cu 2.27
S3 0.2017 0.9307 0.8433  3 Fe 2.11-2.15, 1 Cu 2.27
S4 0.2983 0.0693 0.3433  3 Fe 2.11-2.15, 1 Cu 2.27
S5 0.2983 0.4307 0.3433  3 Fe 2.11-2.15, 1 Cu 2.27
S6 0.3504 0.2500 0.9055  2 Fe 2.18, 2 Cu 2.28-2.34
S7 0.6496 0.7500 0.0945  2 Fe 2.18, 2 Cu 2.28-2.34
S8 0.7017 0.5693 0.6567  3 Fe 2.11-2.15, 1 Cu 2.27
S9 0.7017 0.9307 0.6567  3 Fe 2.11-2.15, 1 Cu 2.27
S10 0.7983 0.0693 0.1567  3 Fe 2.11-2.15, 1 Cu 2.27
S11 0.7983 0.4307 0.1567  3 Fe 2.11-2.15, 1 Cu 2.27
S12 0.8504 0.2500 0.5945  2 Fe 2.18, 2 Cu 2.28-2.34

Properties
Uncorrected formation energy ... -0.303 eV per atom



Record 6
A plane-wave DFT calculation with PBE-GGA was carried out for crystalline FeCu5S4 at its relaxed geometry.

Cell: 6.6461 3.8368 6.7075 Å, 90.00 109.51 90.00°
With the nearest neighbours (Å) after each atom.
Fractional coordinates of all 10 atoms:
Fe1 0.0000 0.0000 0.0000  4 S 2.29-2.37
Cu1 0.0162 0.5000 0.5227  4 S 2.28-2.39
Cu2 0.2665 0.5000 0.2566  4 S 2.34-2.38
Cu3 0.5046 0.5000 0.9897  4 S 2.32-2.57
Cu4 0.5132 0.0000 0.5234  4 S 2.27-2.42
Cu5 0.7452 0.0000 0.2514  4 S 2.34-2.40
S1 0.1283 0.0000 0.3754  1 Fe 2.37, 6 Cu 2.38-2.42
S2 0.1317 0.5000 0.8829  3 Cu 2.28-2.36, 2 Fe 2.35
S3 0.6350 0.0000 0.8819  4 Cu 2.27-2.34, 1 Fe 2.29
S4 0.6392 0.5000 0.3955  7 Cu 2.34-2.57

Properties
Uncorrected formation energy ... -0.164 eV per atom



Record 7
A plane-wave DFT calculation with PBE-GGA was carried out for crystalline FeCuS3 at its relaxed geometry.

Cell: 4.3930 4.3930 4.3930 Å, 90.00 90.00 90.00°
With the nearest neighbours (Å) after each atom.
Fractional coordinates of all 5 atoms:
Fe1 0.0000 0.0000 0.0000  6 S 2.20
Cu1 0.5000 0.5000 0.5000  12 S 3.11
S1 0.0000 0.0000 0.5000  2 Fe 2.20
S2 0.0000 0.5000 0.0000  2 Fe 2.20
S3 0.5000 0.0000 0.0000  2 Fe 2.20

Properties
Uncorrected formation energy ... 0.625 eV per atom



Record 8
A plane-wave DFT calculation with PBE-GGA was carried out for crystalline Fe4Cu2S7 at its relaxed geometry.

Cell: 5.1128 8.2964 11.8058 Å, 90.00 90.00 90.00°
With the nearest neighbours (Å) after each atom.
Fractional coordinates of all 26 atoms:
Fe1 0.9998 0.1529 0.2259  4 S 2.12-2.19
Fe2 0.0002 0.1529 0.7741  4 S 2.12-2.19
Fe3 0.9998 0.8471 0.2259  4 S 2.12-2.19
Fe4 0.0002 0.8471 0.7741  4 S 2.12-2.19
Fe5 0.5002 0.1529 0.2259  4 S 2.12-2.19
Fe6 0.4998 0.1529 0.7741  4 S 2.12-2.19
Fe7 0.5002 0.8471 0.2259  4 S 2.12-2.19
Fe8 0.4998 0.8471 0.7741  4 S 2.12-2.19
Cu1 0.0108 0.5000 0.2779  5 S 2.35-2.60, 1 Cu 2.45
Cu2 0.4892 0.5000 0.2779  5 S 2.35-2.60, 1 Cu 2.45
Cu3 0.5108 0.5000 0.7221  5 S 2.35-2.60, 1 Cu 2.45
Cu4 0.9892 0.5000 0.7221  5 S 2.35-2.60, 1 Cu 2.45
S1 0.2500 0.0000 0.3295  4 Fe 2.18
S2 0.2500 0.0000 0.8794  4 Fe 2.19
S3 0.2500 0.2829 0.6635  2 Fe 2.12, 2 Cu 2.35
S4 0.2500 0.3108 0.1355  2 Fe 2.12
S5 0.2500 0.5000 0.4486  2 Cu 2.36
S6 0.2500 0.6892 0.1355  2 Fe 2.12
S7 0.2500 0.7171 0.6635  2 Fe 2.12, 2 Cu 2.35
S8 0.7500 0.0000 0.1206  4 Fe 2.19
S9 0.7500 0.0000 0.6705  4 Fe 2.18
S10 0.7500 0.2829 0.3365  2 Fe 2.12, 2 Cu 2.35
S11 0.7500 0.3108 0.8645  2 Fe 2.12
S12 0.7500 0.5000 0.5514  2 Cu 2.36
S13 0.7500 0.6892 0.8645  2 Fe 2.12
S14 0.7500 0.7171 0.3365  2 Fe 2.12, 2 Cu 2.35

Properties
Uncorrected formation energy ... -0.217 eV per atom



Record 9
A plane-wave DFT calculation with PBE-GGA was carried out for crystalline FeCu3S4 at its relaxed geometry.

Cell: 6.3661 6.3661 6.3661 Å, 131.44 131.44 71.11°
With the nearest neighbours (Å) after each atom.
Fractional coordinates of all 8 atoms:
Fe1 0.0000 0.0000 0.0000  4 S 2.21
Cu1 0.2500 0.7500 0.5000  4 S 2.27
Cu2 0.5000 0.5000 0.0000  4 S 2.28
Cu3 0.7500 0.2500 0.5000  4 S 2.27
S1 0.1211 0.6339 0.0000  1 Fe 2.21, 3 Cu 2.27-2.28
S2 0.3661 0.3661 0.4872  1 Fe 2.21, 3 Cu 2.27-2.28
S3 0.6339 0.1211 0.0000  1 Fe 2.21, 3 Cu 2.27-2.28
S4 0.8789 0.8789 0.5128  1 Fe 2.21, 3 Cu 2.27-2.28

Properties
Uncorrected formation energy ... -0.288 eV per atom



Record 10
A plane-wave DFT calculation with PBE-GGA was carried out for crystalline FeCu2S2 at its relaxed geometry.

Cell: 7.7017 7.7017 7.7017 Å, 60.00 60.00 60.00°
With the nearest neighbours (Å) after each atom.
Fractional coordinates of all 20 atoms:
Fe1 0.3786 0.3786 0.3786  4 S 2.29-2.33
Fe2 0.3786 0.3786 0.8642  4 S 2.29-2.33
Fe3 0.3786 0.8642 0.3786  4 S 2.29-2.33
Fe4 0.8642 0.3786 0.3786  4 S 2.29-2.33
Cu1 0.0122 0.6626 0.6626  3 S 2.30
Cu2 0.1187 0.1187 0.1187  4 S 2.24-2.35
Cu3 0.1187 0.1187 0.6440  4 S 2.24-2.35
Cu4 0.1187 0.6440 0.1187  4 S 2.24-2.35
Cu5 0.6440 0.1187 0.1187  4 S 2.24-2.35
Cu6 0.6626 0.0122 0.6626  3 S 2.30
Cu7 0.6626 0.6626 0.0122  3 S 2.30
Cu8 0.6626 0.6626 0.6626  3 S 2.30
S1 0.0000 0.0000 0.0000  4 Cu 2.24
S2 0.0089 0.0089 0.4911  4 Cu 2.30-2.35, 2 Fe 2.33
S3 0.0089 0.4911 0.0089  4 Cu 2.30-2.35, 2 Fe 2.33
S4 0.0089 0.4911 0.4911  4 Cu 2.30-2.35, 2 Fe 2.33
S5 0.4911 0.0089 0.0089  4 Cu 2.30-2.35, 2 Fe 2.33
S6 0.4911 0.0089 0.4911  4 Cu 2.30-2.35, 2 Fe 2.33
S7 0.4911 0.4911 0.0089  4 Cu 2.30-2.35, 2 Fe 2.33
S8 0.5000 0.5000 0.5000  4 Fe 2.29

Properties
Uncorrected formation energy ... -0.147 eV per atom



Record 11
A plane-wave DFT calculation with PBE-GGA was carried out for crystalline Fe2CuS at its relaxed geometry.

Cell: 5.1914 5.1914 5.1914 Å, 102.40 102.40 124.78°
With the nearest neighbours (Å) after each atom.
Fractional coordinates of all 8 atoms:
Fe1 0.0704 0.6250 0.9454  2 S 2.15
Fe2 0.3750 0.3204 0.4454  2 S 2.15
Fe3 0.6796 0.1250 0.0546  2 S 2.15
Fe4 0.8750 0.9296 0.5546  2 S 2.15
Cu1 0.2500 0.7500 0.5000  2 S 2.41, 4 Fe 2.63
Cu2 0.5000 0.5000 0.0000  2 S 2.41, 4 Fe 2.63
S1 0.0000 0.0000 0.0000  4 Fe 2.15, 2 Cu 2.41
S2 0.7500 0.2500 0.5000  4 Fe 2.15, 2 Cu 2.41

Properties
Uncorrected formation energy ... 0.299 eV per atom



Record 12
A plane-wave DFT calculation with PBE-GGA was carried out for crystalline FeCu2S2 at its relaxed geometry.

Cell: 7.6494 7.6494 7.6494 Å, 60.00 60.00 60.00°
With the nearest neighbours (Å) after each atom.
Fractional coordinates of all 20 atoms:
Fe1 0.3760 0.3760 0.3760  4 S 2.30-2.32
Fe2 0.3760 0.3760 0.8719  4 S 2.30-2.32
Fe3 0.3760 0.8719 0.3760  4 S 2.30-2.32
Fe4 0.8719 0.3760 0.3760  4 S 2.30-2.32
Cu1 0.1016 0.6328 0.6328  4 S 2.35-2.49
Cu2 0.3590 0.8804 0.8804  4 S 2.24-2.42
Cu3 0.6328 0.1016 0.6328  4 S 2.35-2.49
Cu4 0.6328 0.6328 0.1016  4 S 2.35-2.49
Cu5 0.6328 0.6328 0.6328  4 S 2.35-2.49
Cu6 0.8804 0.3590 0.8804  4 S 2.24-2.42
Cu7 0.8804 0.8804 0.3590  4 S 2.24-2.42
Cu8 0.8804 0.8804 0.8804  4 S 2.24-2.42
S1 0.0000 0.0000 0.0000  4 Cu 2.24
S2 0.0079 0.0079 0.4921  2 Fe 2.30, 4 Cu 2.35-2.42
S3 0.0079 0.4921 0.0079  2 Fe 2.30, 4 Cu 2.35-2.42
S4 0.0079 0.4921 0.4921  2 Fe 2.30, 4 Cu 2.35-2.42
S5 0.4921 0.0079 0.0079  2 Fe 2.30, 4 Cu 2.35-2.42
S6 0.4921 0.0079 0.4921  2 Fe 2.30, 4 Cu 2.35-2.42
S7 0.4921 0.4921 0.0079  2 Fe 2.30, 4 Cu 2.35-2.42
S8 0.5000 0.5000 0.5000  4 Fe 2.32, 4 Cu 2.49

Properties
Uncorrected formation energy ... -0.099 eV per atom



| no. | DOS(E_F) (states/eV/cell) |
| --- | --- |
| 1 | 5.64 |
| 2 | 3.73 |
| 3 | 7.19 |
| 4 | 5.72 |
| 5 | 18.57 |
| 6 | 5.26 |
| 7 | 7.63 |
| 8 | 15.60 |
| 9 | 4.59 |
| 10 | 15.44 |
| 11 | 11.42 |
| 12 | 14.65 |